No. 1
TlCu2Ag: optimized geometry, GGA-PBE.

Values from the calculation:
calculated density: 9.906 g cm⁻³
DFT formation energy: 9.6 kcal/mol of atoms
DOS at the Fermi energy: 2.1 states/eV per cell
crystal system: tetragonal
offset from the most stable computed form: 228 meV per atom
symmetry: I-42d (122)
V: 18.4 Å³ per atom
calculated total energy: -2.94 eV per atom

a b c (Å): 7.3060 7.3060 5.8569
angles (deg): 51.41 51.41 90.00
Last column: nearest neighbours and their distance in Å.
Sites, in units of the cell vectors:
1 Tl 0.7500 0.2500 0.5000  4 Cu 2.71, 2 Ag 2.76
2 Tl 0.0000 0.0000 0.0000  4 Cu 2.71, 2 Ag 2.76
3 Cu 0.1330 0.6250 0.2500  2 Ag 2.63, 2 Tl 2.71, 2 Cu 2.76
4 Cu 0.8750 0.8670 0.7500  2 Ag 2.63, 2 Tl 2.71, 2 Cu 2.76
5 Cu 0.6170 0.1250 0.2500  2 Ag 2.63, 2 Tl 2.71, 2 Cu 2.76
6 Cu 0.3750 0.3830 0.7500  2 Ag 2.63, 2 Tl 2.71, 2 Cu 2.76
7 Ag 0.2500 0.7500 0.5000  4 Cu 2.63, 2 Tl 2.76
8 Ag 0.5000 0.5000 0.0000  4 Cu 2.63, 2 Tl 2.76


No. 2
LaNbZnBi2: optimized geometry, GGA-PBE.

Values from the calculation:
calculated density: 5.997 g cm⁻³
DFT formation energy: 29.9 kcal/mol of atoms
DOS at the Fermi energy: 5.2 states/eV per cell
crystal system: tetragonal
symmetry: P4/mmm (123)
V: 39.6 Å³ per atom
calculated total energy: -3.51 eV per atom

a b c (Å): 6.1684 5.2043 6.1684
angles (deg): 90.00 90.00 90.00
Last column: nearest neighbours and their distance in Å.
Sites, in units of the cell vectors:
1 Nb 0.0000 0.5000 0.0000  2 La 2.60
2 La 0.0000 0.0000 0.0000  2 Nb 2.60
3 Zn 0.5000 0.5000 0.5000  8 Bi 4.04, 4 Nb 4.36
4 Bi 0.5000 0.0000 0.0000  2 La 3.08
5 Bi 0.0000 0.0000 0.5000  2 La 3.08


No. 3
CsPuTl2Cl6: optimized geometry, GGA-PBE.

Values from the calculation:
calculated density: 4.446 g cm⁻³
DOS at the Fermi energy: 17.9 states/eV per cell
crystal system: monoclinic
energy relative to the elements, uncorrected: -1.5976 eV/atom
symmetry: P2_1/c (14)
V: 37.3 Å³ per atom
calculated total energy: -4.70 eV per atom

a b c (Å): 7.7155 8.6710 11.1566
angles (deg): 90.00 87.62 90.00
Last column: nearest neighbours and their distance in Å.
Sites, in units of the cell vectors:
1 Cl 0.1377 0.3925 0.7864  1 Pu 2.73
2 Cl 0.8428 0.7430 0.8908  1 Pu 2.74
3 Cl 0.1572 0.2570 0.1092  1 Pu 2.74
4 Cl 0.3428 0.7570 0.3908  1 Pu 2.74
5 Cl 0.3623 0.8925 0.7136  1 Pu 2.73
6 Cl 0.6377 0.1075 0.2864  1 Pu 2.73
7 Cl 0.1932 0.1514 0.4754  1 Pu 2.73
8 Cl 0.8623 0.6075 0.2136  1 Pu 2.73
9 Cl 0.3068 0.6514 0.0246  1 Pu 2.73
10 Cl 0.8068 0.8486 0.5246  1 Pu 2.73
11 Cl 0.6572 0.2430 0.6092  1 Pu 2.74
12 Cl 0.6932 0.3486 0.9754  1 Pu 2.73
13 Pu 0.0000 0.5000 0.0000  6 Cl 2.73-2.74
14 Pu 0.5000 0.0000 0.5000  6 Cl 2.73-2.74
15 Tl 0.5125 0.5474 0.7798  6 Cl 3.15-3.41
16 Tl 0.4875 0.4526 0.2202  6 Cl 3.15-3.41
17 Tl 0.9875 0.0474 0.7202  6 Cl 3.15-3.41
18 Tl 0.0125 0.9526 0.2798  6 Cl 3.15-3.41
19 Cs 0.5000 0.0000 0.0000  6 Cl 3.38-3.63
20 Cs 0.0000 0.5000 0.5000  6 Cl 3.38-3.63


No. 4
CsNpSe4: optimized geometry, GGA-PBE.

Values from the calculation:
calculated density: 5.476 g cm⁻³
DOS at the Fermi energy: 8.4 states/eV per cell
crystal system: trigonal
energy relative to the elements, uncorrected: -0.6612 eV/atom
offset from the most stable computed form: 220 meV per atom
symmetry: R-3m (166)
V: 34.7 Å³ per atom
calculated total energy: -5.28 eV per atom

a b c (Å): 5.0682 5.0681 9.7924
angles (deg): 75.02 75.02 60.01
Last column: nearest neighbours and their distance in Å.
Sites, in units of the cell vectors:
1 Cs 0.5000 0.5000 0.5000  6 Se 3.61
2 Se 0.9086 0.9086 0.2743  1 Np 2.56
3 Se 0.0914 0.0914 0.7257  1 Np 2.56
4 Se 0.6590 0.6590 0.0229  3 Np 2.93, 3 Se 2.96
5 Se 0.3410 0.3410 0.9771  3 Np 2.93, 3 Se 2.96
6 Np 0.0000 0.0000 0.0000  2 Se 2.56